Model a:
# Pr3Dy3Sc2 | Alexandria via LeMat-Bulk | PBE | relaxed
# Magnetization (μB/cell): 0.000
# D(E_F) (states/eV/f.u.): 12.37
# Crystal system: monoclinic
# Calculated density (g/cm3): 6.55
data_Pr3Dy3Sc2
_chemical_formula_sum 'Pr6 Dy6 Sc4'
_symmetry_space_group_name_H-M 'C 1 2/m 1'
_symmetry_Int_Tables_number 12
_symmetry_space_group_name_Hall '-C 2y'
_cell_length_a 17.0107
_cell_length_b 5.5097
_cell_length_c 5.7081
_cell_angle_alpha 90.00
_cell_angle_beta 108.54
_cell_angle_gamma 90.00
loop_
_atom_site_label
_atom_site_fract_x
_atom_site_fract_y
_atom_site_fract_z
Pr1 0.0000 0.0000 0.0000
Pr2 0.1411 0.0000 0.6890
Dy1 0.0000 0.5000 0.5000
Dy2 0.1391 0.5000 0.1005
Sc1 0.2504 0.0000 0.3116

Model b:
# Pr3Dy3Sc2 | Alexandria via LeMat-Bulk | PBE | relaxed
# Magnetization (μB/cell): 0.000
# D(E_F) (states/eV/f.u.): 12.04
# Crystal system: orthorhombic
# Calculated density (g/cm3): 6.65
data_Pr3Dy3Sc2
_chemical_formula_sum 'Pr3 Dy3 Sc2'
_symmetry_space_group_name_H-M 'P m m m'
_symmetry_Int_Tables_number 47
_symmetry_space_group_name_Hall '-P 2 2'
_cell_length_a 5.0155
_cell_length_b 5.0511
_cell_length_c 9.8621
_cell_angle_alpha 90.00
_cell_angle_beta 90.00
_cell_angle_gamma 90.00
loop_
_atom_site_label
_atom_site_fract_x
_atom_site_fract_y
_atom_site_fract_z
Pr1 0.0000 0.0000 0.0000
Pr2 0.0000 0.0000 0.5000
Pr3 0.5000 0.5000 0.0000
Dy1 0.0000 0.5000 0.2528
Dy2 0.5000 0.5000 0.5000
Sc1 0.5000 0.0000 0.2530

What is the stability order? It is model b, model a, from most stable to least stable.

Model a:
# Pr4Dy4Sc | Alexandria via LeMat-Bulk | PBE | relaxed
# Magnetization (μB/cell): 0.000
# D(E_F) (states/eV/f.u.): 12.73
# Crystal system: tetragonal
# Calculated density (g/cm3): 7.12
data_Pr4Dy4Sc
_chemical_formula_sum 'Pr8 Dy8 Sc2'
_symmetry_space_group_name_H-M 'I 4/m m m'
_symmetry_Int_Tables_number 139
_symmetry_space_group_name_Hall '-I 4 2'
_cell_length_a 10.7861
_cell_length_b 10.7861
_cell_length_c 5.0469
_cell_angle_alpha 90.00
_cell_angle_beta 90.00
_cell_angle_gamma 90.00
loop_
_atom_site_label
_atom_site_fract_x
_atom_site_fract_y
_atom_site_fract_z
Pr1 0.1642 0.1642 0.0000
Dy1 0.0000 0.3331 0.5000
Sc1 0.0000 0.0000 0.5000

Model b:
# Pr4Dy4Sc | Alexandria via LeMat-Bulk | PBE | relaxed
# Magnetization (μB/cell): 0.012
# D(E_F) (states/eV/f.u.): 17.97
# Crystal system: tetragonal
# Calculated density (g/cm3): 6.26
data_Pr4Dy4Sc
_chemical_formula_sum 'Pr8 Dy8 Sc2'
_symmetry_space_group_name_H-M 'I -4 2 m'
_symmetry_Int_Tables_number 121
_symmetry_space_group_name_Hall 'I -4 2'
_cell_length_a 5.3165
_cell_length_b 5.3165
_cell_length_c 23.6054
_cell_angle_alpha 90.00
_cell_angle_beta 90.00
_cell_angle_gamma 90.00
loop_
_atom_site_label
_atom_site_fract_x
_atom_site_fract_y
_atom_site_fract_z
Pr1 0.2466 0.2466 0.3730
Dy1 0.0000 0.0000 0.2475
Dy2 0.0000 0.5000 0.0000
Sc1 0.0000 0.0000 0.5000

What is the stability order? It is model a, model b, from most stable to least stable.

Model a:
# Pr4DySc2 | Alexandria via LeMat-Bulk | PBE | relaxed
# Magnetization (μB/cell): 0.000
# D(E_F) (states/eV/f.u.): 12.82
# Crystal system: monoclinic
# Calculated density (g/cm3): 5.96
data_Pr4DySc2
_chemical_formula_sum 'Pr8 Dy2 Sc4'
_symmetry_space_group_name_H-M 'P 1 21/m 1'
_symmetry_Int_Tables_number 11
_symmetry_space_group_name_Hall '-P 2yb'
_cell_length_a 8.7982
_cell_length_b 6.5392
_cell_length_c 8.9752
_cell_angle_alpha 90.00
_cell_angle_beta 118.27
_cell_angle_gamma 90.00
loop_
_atom_site_label
_atom_site_fract_x
_atom_site_fract_y
_atom_site_fract_z
Pr1 0.0054 0.2500 0.0642
Pr2 0.0613 0.7500 0.3430
Pr3 0.4154 0.5053 0.2658
Dy1 0.2509 0.7500 0.7732
Sc1 0.2003 0.2500 0.4963
Sc2 0.3561 0.2500 0.9133

Model b:
# Pr4DySc2 | Alexandria via LeMat-Bulk | PBE | relaxed
# Magnetization (μB/cell): 0.000
# D(E_F) (states/eV/f.u.): 8.00
# Crystal system: orthorhombic
# Calculated density (g/cm3): 5.94
data_Pr4DySc2
_chemical_formula_sum 'Pr16 Dy4 Sc8'
_symmetry_space_group_name_H-M 'I b a m'
_symmetry_Int_Tables_number 72
_symmetry_space_group_name_Hall '-I 2 2c'
_cell_length_a 6.7246
_cell_length_b 22.0245
_cell_length_c 6.1570
_cell_angle_alpha 90.00
_cell_angle_beta 90.00
_cell_angle_gamma 90.00
loop_
_atom_site_label
_atom_site_fract_x
_atom_site_fract_y
_atom_site_fract_z
Pr1 0.0962 0.0865 0.0000
Pr2 0.1033 0.3657 0.0000
Dy1 0.0000 0.5000 0.2500
Sc1 0.1189 0.2419 0.5000

What is the stability order? It is model a, model b, from most stable to least stable.

Model a:
# Pr5Dy2Sc2 | Alexandria via LeMat-Bulk | PBE | relaxed
# Magnetization (μB/cell): 0.000
# D(E_F) (states/eV/f.u.): 14.52
# Crystal system: monoclinic
# Calculated density (g/cm3): 6.31
data_Pr5Dy2Sc2
_chemical_formula_sum 'Pr10 Dy4 Sc4'
_symmetry_space_group_name_H-M 'C 1 2/m 1'
_symmetry_Int_Tables_number 12
_symmetry_space_group_name_Hall '-C 2y'
_cell_length_a 20.0513
_cell_length_b 3.4909
_cell_length_c 8.6266
_cell_angle_alpha 90.00
_cell_angle_beta 102.69
_cell_angle_gamma 90.00
loop_
_atom_site_label
_atom_site_fract_x
_atom_site_fract_y
_atom_site_fract_z
Pr1 0.0000 0.0000 0.0000
Pr2 0.1620 0.5000 0.9866
Pr3 0.2172 0.0000 0.6453
Dy1 0.0545 0.0000 0.6601
Sc1 0.0963 0.5000 0.3498

Model b:
# Pr5Dy2Sc2 | Alexandria via LeMat-Bulk | PBE | relaxed
# Magnetization (μB/cell): 0.000
# D(E_F) (states/eV/f.u.): 13.70
# Crystal system: orthorhombic
# Calculated density (g/cm3): 6.23
data_Pr5Dy2Sc2
_chemical_formula_sum 'Pr20 Dy8 Sc8'
_symmetry_space_group_name_H-M 'I m a 2'
_symmetry_Int_Tables_number 46
_symmetry_space_group_name_Hall 'I 2 -2a'
_cell_length_a 19.3484
_cell_length_b 8.5904
_cell_length_c 7.1828
_cell_angle_alpha 90.00
_cell_angle_beta 90.00
_cell_angle_gamma 90.00
loop_
_atom_site_label
_atom_site_fract_x
_atom_site_fract_y
_atom_site_fract_z
Pr1 0.1080 0.2492 0.0000
Pr2 0.1603 0.7497 0.0001
Pr3 0.2500 0.0461 0.2500
Dy1 0.0000 0.0000 0.7488
Dy2 0.2500 0.0579 0.7500
Sc1 0.0383 0.6343 0.7499

What is the stability order? It is model a, model b, from most stable to least stable.